KInCo | GGA-PBE | relaxed

## Properties
SG = Imm2, No. 44
ΔE to the lowest computed polymorph = 0 meV/atom
Total moment = 0.60 μB per formula unit
Total energy = -3.27 eV per atom

a = 6.690 Å, b = 6.690 Å, c = 6.690 Å
α = 153.40°, β = 144.21°, γ = 45.14°
Last column: magnetic moment on the atom in μB.
Fractional coordinates of all 3 atoms:
Co 0.930 0.930 0.000  0.77
In 0.401 0.401 0.000  -0.05
K 0.669 0.669 0.000  -0.01